[1]
CdFe2N2 | PBE | relaxed

abc: 2.918 2.918 9.386
angles: 72.09 72.09 59.99
Element x y z (fractional)
1 N 0.454 0.454 0.817
2 Fe 0.255 0.255 0.118
3 Fe 0.745 0.745 0.882
4 Cd 0.000 0.000 0.500
5 N 0.546 0.546 0.183

Calculated values
Space-group type: No. 12
D(E_F), states/eV/f.u.: 3.70
Raw formation energy, meV per atom: 119.0
Total moment, μB/f.u.: 0.0


[2]
Ba2In2Hg3 | PBE | relaxed

abc: 4.834 8.398 11.537
angles: 90.00 102.09 90.00
Element x y z (fractional)
1 Hg 0.222 0.750 0.445
2 Hg 0.559 0.073 0.117
3 Ba 0.842 0.750 0.683
4 Ba 0.158 0.250 0.317
5 Hg 0.778 0.250 0.555
6 In 0.314 0.059 0.627
7 In 0.686 0.559 0.373
8 Hg 0.441 0.573 0.883
9 Ba 0.059 0.750 0.118
10 In 0.314 0.441 0.627
11 Hg 0.559 0.427 0.117
12 In 0.686 0.941 0.373
13 Ba 0.941 0.250 0.882
14 Hg 0.441 0.927 0.883

Calculated values
Space-group type: No. 63
DFT formation energy, meV/atom: -401
D(E_F), states/eV/f.u.: 5.27
Total moment, μB/f.u.: 0.0


[3]
KAgS5 | PBE | relaxed

abc: 6.055 7.630 28.217
angles: 44.92 44.25 79.48
Element x y z (fractional)
1 S 0.826 0.342 0.970
2 Ag 0.500 0.500 0.500
3 S 0.174 0.658 0.030
4 S 0.788 0.435 0.888
5 S 0.133 0.684 0.535
6 S 0.811 0.096 0.579
7 K 0.828 0.901 0.236
8 K 0.172 0.100 0.764
9 Ag 0.000 0.000 0.000
10 S 0.189 0.904 0.421
11 S 0.867 0.316 0.465
12 S 0.668 0.411 0.258
13 S 0.212 0.565 0.112
14 S 0.332 0.589 0.742

Calculated values
Space-group type: No. 2
D(E_F), states/eV/f.u.: 0.00
Raw formation energy, meV per atom: -249.3
Total moment, μB/f.u.: 0.0